Entry 1:
A geometry-optimized Nd3GaAg2 structure. Source: Alexandria via LeMat-Bulk, functional PBE.

Cell and atoms, written as POSCAR:
```
Nd3GaAg2
1.0
-2.693 -1.913 -1.727
0.906 -3.041 1.956
-7.269 2.995 8.019
Nd Ga Ag
3 1 2
Direct
0.000 0.000 0.000 Nd
0.000 0.000 0.659 Nd
0.000 0.000 0.341 Nd
0.500 0.500 0.500 Ga
0.500 0.500 0.830 Ag
0.500 0.500 0.170 Ag
```

Summary:
E above lowest polymorph: 0 meV/atom
ρ: 7.6 g cm⁻³
Space-group type: No. 123
Total magnetic moment: 0.00 μB/f.u.
E_form: -0.36 eV per atom

=====

Entry 2:
A geometry-optimized ZrScPt2C structure. Source: Alexandria via LeMat-Bulk, functional PBE.

Cell and atoms, written as POSCAR:
```
ZrScPt2C
1.0
-4.570 -1.468 0.743
-0.421 -0.713 -4.000
1.567 -4.552 0.647
Sc C Zr Pt
1 1 1 2
Direct
0.000 0.000 0.000 Sc
0.000 0.500 0.000 C
0.500 0.500 0.500 Zr
0.000 0.000 0.500 Pt
0.500 0.000 0.000 Pt
```

Summary:
ρ: 9.3 g cm⁻³
Space-group type: No. 123
Total magnetic moment: 0.00 μB/f.u.
E_form: 0.69 eV per atom

=====

Entry 3:
A geometry-optimized PuUGeRu structure. Source: Alexandria via LeMat-Bulk, functional PBE.

Cell and atoms, written as POSCAR:
```
PuUGeRu
1.0
-2.956 0.852 2.850
0.665 -3.727 1.805
4.114 3.201 0.225
Pu U Ge Ru
1 1 1 1
Direct
0.250 0.750 0.500 Pu
0.500 0.500 0.000 U
0.000 0.000 0.000 Ge
0.750 0.250 0.500 Ru
```

Summary:
E above lowest polymorph: 16 meV/atom
ρ: 14.4 g cm⁻³
Space-group type: No. 119
Total magnetic moment: 6.12 μB/f.u.
E_form: -0.22 eV per atom

=====

Entry 4:
A geometry-optimized CeGdZnSi structure. Source: Alexandria via LeMat-Bulk, functional PBE.

Cell and atoms, written as POSCAR:
```
CeGdZnSi
1.0
5.054 0.000 0.000
2.527 4.377 0.000
2.527 1.459 4.127
Zn Gd Si Ce
1 1 1 1
Direct
0.750 0.750 0.750 Zn
0.500 0.500 0.500 Gd
0.250 0.250 0.250 Si
0.000 0.000 0.000 Ce
```

Summary:
ρ: 7.1 g cm⁻³
Formation energy from raw total energies: -0.413 eV per atom
Space-group type: No. 216
Total magnetic moment: 7.80 μB/f.u.